1.
DyErC2I2 (GGA-PBE, optimized geometry); space-group type = Cm; total energy = -5.967 eV/atom; magnetization = 0.001 μB/f.u.
1.0
3.6444 -1.9390 0.0000
3.6444 1.9390 0.0000
-0.6692 0.0000 11.1853
Dy Er C I
1 1 2 2
Cartesian
0.0000 0.0000 0.0000
4.6609 0.0000 8.4686
1.4132 0.0000 10.1221
2.5886 0.0000 9.4931
-0.1525 0.0000 6.3785
4.8222 0.0000 2.1065

=====

2.
TmLuZn2Ge2 (GGA-PBE, optimized geometry); offset from the most stable computed form = 0.00 eV per formula unit; space-group type = P6_3/mmc; total energy = -4.075 eV/atom; magnetization = 0.001 μB/f.u.
1.0
4.2090 0.0000 0.0000
-2.1045 3.6451 0.0000
0.0000 0.0000 15.3084
Tm Lu Zn Ge
2 2 4 4
Cartesian
0.0000 0.0000 0.0000
0.0000 0.0000 7.6542
0.0000 0.0000 3.8271
0.0000 0.0000 11.4813
0.0000 2.4301 2.2890
0.0000 2.4301 5.3652
2.1045 1.2150 9.9432
2.1045 1.2150 13.0194
0.0000 2.4301 9.3809
0.0000 2.4301 13.5817
2.1045 1.2150 1.7267
2.1045 1.2150 5.9275

=====

3.
Y2ErFe2Co7 (GGA-PBE, optimized geometry); space-group type = R-3m; total energy = -7.162 eV/atom; magnetization = 12.375 μB/f.u.; formation energy = -2.1 eV/f.u.
1.0
2.5188 1.4542 7.9046
-2.5188 1.4542 7.9046
0.0000 -2.9084 7.9046
Y Er Fe Co
2 1 2 7
Cartesian
0.0000 0.0000 3.3350
0.0000 0.0000 20.3787
0.0000 0.0000 0.0000
0.0000 0.0000 7.9100
0.0000 0.0000 15.8037
-1.2607 -0.7279 9.8332
0.0000 -1.4557 13.8805
-1.2607 0.7279 13.8805
0.0000 0.0000 11.8569
1.2607 -0.7279 9.8332
0.0000 1.4557 9.8332
1.2607 0.7279 13.8806

=====

4.
Mg6Tl2Au (GGA-PBE, optimized geometry); space-group type = P-62m; total energy = -2.127 eV/atom
1.0
8.0201 0.0000 0.0000
-4.0100 6.9456 0.0000
0.0000 0.0000 3.5885
Mg Tl Au
6 2 1
Cartesian
-1.0389 1.7994 0.0000
-2.5311 4.3840 1.7942
2.0778 0.0000 0.0000
1.4789 2.5616 1.7942
5.0622 0.0000 1.7942
2.9711 5.1462 0.0000
0.0000 4.6304 0.0000
4.0100 2.3152 0.0000
0.0000 0.0000 1.7942

=====

5.
CsCo3 (GGA-PBE, optimized geometry); offset from the most stable computed form = 3.16 eV per formula unit; space-group type = I4/mmm; total energy = -3.891 eV/atom; magnetization = 3.907 μB/f.u.
1.0
-2.1202 2.1202 3.5522
2.1202 -2.1202 3.5522
2.1202 2.1202 -3.5522
Cs Co
1 3
Cartesian
0.0000 0.0000 0.0000
2.1202 0.0000 1.7761
0.0000 0.0000 3.5522
0.0000 2.1202 1.7761

=====

6.
Y4CdCoC2 (GGA-PBE, optimized geometry); space-group type = P-6m2; total energy = -6.674 eV/atom; magnetization = 0.240 μB/f.u.
1.0
3.6007 0.0000 0.0000
-1.8004 3.1183 0.0000
0.0000 0.0000 14.9572
Y Cd Co C
4 1 1 2
Cartesian
0.0000 0.0000 1.9853
0.0000 0.0000 12.9719
1.8004 1.0394 4.6995
1.8004 1.0394 10.2577
0.0000 0.0000 7.4786
1.8004 1.0394 0.0000
0.0000 2.0789 3.4407
0.0000 2.0789 11.5164

=====

7.
KNdSnS3 (GGA-PBE, optimized geometry); offset from the most stable computed form = 0.72 eV per formula unit; space-group type = Cmcm; total energy = -4.936 eV/atom; magnetization = 0.008 μB/f.u.
1.0
2.0564 -8.1790 0.0000
2.0564 8.1790 0.0000
0.0000 0.0000 11.4901
K Nd Sn S
2 2 2 6
Cartesian
2.0564 5.3857 8.6176
2.0564 -5.3857 2.8725
2.0564 0.0000 0.0000
2.0564 0.0000 5.7451
2.0564 6.1881 2.8725
2.0564 -6.1881 8.6176
2.0564 6.2671 0.0860
2.0564 6.2671 5.6591
2.0564 0.2408 8.6176
2.0564 -0.2408 2.8725
2.0564 -6.2671 5.8310
2.0564 -6.2671 11.4042

=====

8.
ZnCoTe3Pb (GGA-PBE, optimized geometry); offset from the most stable computed form = 0.00 eV per formula unit; space-group type = Cmcm; total energy = -3.672 eV/atom; magnetization = 0.003 μB/f.u.
1.0
1.9684 -6.9923 0.0000
1.9684 6.9923 0.0000
0.0000 0.0000 11.3038
Zn Co Te Pb
2 2 6 2
Cartesian
0.0000 0.0000 0.0000
0.0000 0.0000 5.6519
1.9684 1.7758 8.4779
1.9684 -1.7758 2.8260
1.9684 6.8420 2.8260
1.9684 1.9866 5.9881
1.9684 1.9866 10.9676
1.9684 -1.9866 0.3362
1.9684 -1.9866 5.3157
1.9684 -6.8420 8.4779
1.9684 3.3179 2.8260
1.9684 -3.3179 8.4779

=====

Q: total energy of number 7 (KNdSnS3)?
A: -4.936 eV/atom